{"formula": "BaGaPdPb2", "functional": "PBE", "state": "relaxed", "cell": [[5.377, 0.000, 0.000], [0.000, 5.377, 0.000], [0.000, 0.000, 5.885]], "species": ["Ba", "Ga", "Pd", "Pb", "Pb"], "fractional_positions": [[0.000, 0.000, 0.000], [0.500, 0.500, 0.000], [0.000, 0.000, 0.500], [0.000, 0.500, 0.500], [0.500, 0.000, 0.500]], "space_group": "P4/mmm (123)", "ef_ev_per_atom": -0.082}

---

{"formula": "BaPmGaPb", "functional": "PBE", "state": "relaxed", "cell": [[8.020, 0.000, 0.000], [0.000, 8.020, 0.000], [0.000, 0.000, 8.020]], "species": ["Ba", "Ba", "Ba", "Ba", "Pm", "Pm", "Pm", "Pm", "Ga", "Ga", "Ga", "Ga", "Pb", "Pb", "Pb", "Pb"], "fractional_positions": [[0.000, 0.000, 0.000], [0.000, 0.500, 0.500], [0.500, 0.000, 0.500], [0.500, 0.500, 0.000], [0.000, 0.000, 0.500], [0.000, 0.500, 0.000], [0.500, 0.000, 0.000], [0.500, 0.500, 0.500], [0.250, 0.250, 0.250], [0.250, 0.750, 0.750], [0.750, 0.250, 0.750], [0.750, 0.750, 0.250], [0.250, 0.250, 0.750], [0.250, 0.750, 0.250], [0.750, 0.250, 0.250], [0.750, 0.750, 0.750]], "space_group": "F-43m (216)", "ef_ev_per_atom": -0.336}

---

{"formula": "Ba2GaPtPb", "functional": "PBE", "state": "relaxed", "cell": [[6.205, 0.000, 0.000], [0.000, 6.205, 0.000], [0.000, 0.000, 4.819]], "species": ["Ba", "Ba", "Ga", "Pt", "Pb"], "fractional_positions": [[0.000, 0.500, 0.000], [0.500, 0.000, 0.000], [0.000, 0.000, 0.500], [0.000, 0.000, 0.000], [0.500, 0.500, 0.500]], "space_group": "P4/mmm (123)", "ef_ev_per_atom": -0.539}

---

{"formula": "BaGaRhPb2", "functional": "PBE", "state": "relaxed", "cell": [[5.307, 0.000, 0.000], [0.000, 5.307, 0.000], [0.000, 0.000, 5.828]], "species": ["Ba", "Ga", "Rh", "Pb", "Pb"], "fractional_positions": [[0.000, 0.000, 0.000], [0.500, 0.500, 0.000], [0.000, 0.000, 0.500], [0.000, 0.500, 0.500], [0.500, 0.000, 0.500]], "space_group": "P4/mmm (123)", "ef_ev_per_atom": -0.050}

---

Q: Number 3 is which compound?
A: Ba2GaPtPb

---

Q: Number 4 is which compound?
A: BaGaRhPb2